Material: Ta2IrC2
Method: DFT, PBE
State: relaxed Values from VASP.

Output
DOS at the Fermi energy	2.8	states/eV/f.u.
magnetic moment	0.0	μB/cell
formation enthalpy at 0 K	0.535	eV per formula unit

The structure in Quantum ESPRESSO input format:
```
&SYSTEM
  ibrav = 0, nat = 5, ntyp = 3
/
ATOMIC_SPECIES
Ta 180.95 Ta.upf
Ir 192.22 Ir.upf
C 12.01 C.upf
CELL_PARAMETERS angstrom
-2.158 2.158 3.973
2.158 -2.158 3.973
2.158 2.158 -3.973
ATOMIC_POSITIONS angstrom
Ta 2.158 0.000 1.987
Ta 0.000 2.158 1.987
Ir 0.000 0.000 0.000
C 0.000 0.000 2.083
C 0.000 0.000 5.864
```

---

Material: TaIrC2
Method: DFT, PBE
State: relaxed Values from VASP.

Output
DOS at the Fermi energy	2.1	states/eV/f.u.
magnetic moment	0.0	μB/cell
formation enthalpy at 0 K	1.567	eV per formula unit

The structure in Quantum ESPRESSO input format:
```
&SYSTEM
  ibrav = 0, nat = 8, ntyp = 3
/
ATOMIC_SPECIES
Ta 180.95 Ta.upf
Ir 192.22 Ir.upf
C 12.01 C.upf
CELL_PARAMETERS angstrom
-2.310 2.310 4.981
2.310 -2.310 4.981
2.310 2.310 -4.981
ATOMIC_POSITIONS angstrom
Ta 0.000 0.000 0.000
Ta 0.000 2.310 2.491
Ir 2.310 0.000 2.491
Ir 0.000 0.000 4.981
C 1.155 -1.076 3.736
C 1.234 1.155 1.245
C 1.155 3.386 -1.245
C 1.076 1.155 6.227
```

---

Material: Ta2IrC2
Method: DFT, PBE
State: relaxed Values from VASP.

Output
DOS at the Fermi energy	2.4	states/eV/f.u.
magnetic moment	0.0	μB/cell
formation enthalpy at 0 K	0.515	eV per formula unit

The structure in Quantum ESPRESSO input format:
```
&SYSTEM
  ibrav = 0, nat = 10, ntyp = 3
/
ATOMIC_SPECIES
Ta 180.95 Ta.upf
Ir 192.22 Ir.upf
C 12.01 C.upf
CELL_PARAMETERS angstrom
6.277 0.000 0.000
0.000 6.277 0.000
0.000 0.000 2.978
ATOMIC_POSITIONS angstrom
Ta 0.960 2.178 0.000
Ta 2.178 5.317 0.000
Ta 4.099 0.960 0.000
Ta 5.317 4.099 0.000
Ir 0.000 0.000 1.489
Ir 3.138 3.138 1.489
C 0.973 4.111 1.489
C 2.166 0.973 1.489
C 4.111 5.304 1.489
C 5.304 2.166 1.489
```

---

Material: Ta3IrC
Method: DFT, PBE
State: relaxed Values from VASP.

Output
DOS at the Fermi energy	4.8	states/eV/f.u.
magnetic moment	0.0	μB/cell
formation enthalpy at 0 K	-1.760	eV per formula unit

The structure in Quantum ESPRESSO input format:
```
&SYSTEM
  ibrav = 0, nat = 5, ntyp = 3
/
ATOMIC_SPECIES
Ta 180.95 Ta.upf
Ir 192.22 Ir.upf
C 12.01 C.upf
CELL_PARAMETERS angstrom
4.247 0.000 0.000
0.000 4.247 0.000
0.000 0.000 4.247
ATOMIC_POSITIONS angstrom
Ta 0.000 0.000 2.123
Ta 0.000 2.123 0.000
Ta 2.123 0.000 0.000
Ir 2.123 2.123 2.123
C 0.000 0.000 0.000
```

---

Material: Ta2IrC
Method: DFT, PBE
State: relaxed Values from VASP.

Output
DOS at the Fermi energy	2.4	states/eV/f.u.
magnetic moment	0.0	μB/cell
formation enthalpy at 0 K	0.200	eV per formula unit

The structure in Quantum ESPRESSO input format:
```
&SYSTEM
  ibrav = 0, nat = 8, ntyp = 3
/
ATOMIC_SPECIES
Ta 180.95 Ta.upf
Ir 192.22 Ir.upf
C 12.01 C.upf
CELL_PARAMETERS angstrom
-3.716 3.716 2.226
3.716 -3.716 2.226
3.716 3.716 -2.226
ATOMIC_POSITIONS angstrom
Ta 0.923 1.858 0.556
Ta -1.858 2.793 1.669
Ta -0.923 5.574 0.556
Ta 1.858 4.638 1.669
Ir 3.716 0.000 1.113
Ir 0.000 0.000 2.226
C 0.000 0.000 0.000
C 0.000 3.716 1.113
```

---

Material: TaIrC2
Method: DFT, PBE
State: relaxed Values from VASP.

Output
DOS at the Fermi energy	4.2	states/eV/f.u.
magnetic moment	0.0	μB/cell
formation enthalpy at 0 K	3.927	eV per formula unit

The structure in Quantum ESPRESSO input format:
```
&SYSTEM
  ibrav = 0, nat = 4, ntyp = 3
/
ATOMIC_SPECIES
Ta 180.95 Ta.upf
Ir 192.22 Ir.upf
C 12.01 C.upf
CELL_PARAMETERS angstrom
0.000 2.766 2.766
2.766 0.000 2.766
2.766 2.766 0.000
ATOMIC_POSITIONS angstrom
Ta 0.000 0.000 0.000
Ir 2.766 2.766 2.766
C 1.383 1.383 1.383
C 4.149 4.149 4.149
```

---

Material: TaTi2IrC
Method: DFT, PBE
State: relaxed Values from VASP.

Output
DOS at the Fermi energy	5.4	states/eV/f.u.
magnetic moment	0.0	μB/cell
formation enthalpy at 0 K	-2.737	eV per formula unit

The structure in Quantum ESPRESSO input format:
```
&SYSTEM
  ibrav = 0, nat = 5, ntyp = 4
/
ATOMIC_SPECIES
Ta 180.95 Ta.upf
Ti 47.87 Ti.upf
Ir 192.22 Ir.upf
C 12.01 C.upf
CELL_PARAMETERS angstrom
4.120 0.000 0.000
0.000 4.120 0.000
0.000 0.000 4.275
ATOMIC_POSITIONS angstrom
Ta 0.000 0.000 0.000
Ti 0.000 2.060 2.138
Ti 2.060 0.000 2.138
Ir 2.060 2.060 0.000
C 0.000 0.000 2.138
```

---

Material: Tc3IrC
Method: DFT, PBE
State: relaxed Values from VASP.

Output
DOS at the Fermi energy	6.4	states/eV/f.u.
magnetic moment	2.7	μB/cell
formation enthalpy at 0 K	15.105	eV per formula unit

The structure in Quantum ESPRESSO input format:
```
&SYSTEM
  ibrav = 0, nat = 5, ntyp = 3
/
ATOMIC_SPECIES
Tc 98.00 Tc.upf
Ir 192.22 Ir.upf
C 12.01 C.upf
CELL_PARAMETERS angstrom
4.707 0.000 0.000
0.000 4.707 0.000
0.000 0.000 4.707
ATOMIC_POSITIONS angstrom
Tc 0.000 0.000 2.353
Tc 0.000 2.353 0.000
Tc 2.353 0.000 0.000
Ir 0.000 0.000 0.000
C 2.353 2.353 2.353
```

---

Material: TcIrC3
Method: DFT, PBE
State: relaxed Values from VASP.

Output
DOS at the Fermi energy	2.2	states/eV/f.u.
magnetic moment	0.0	μB/cell
formation enthalpy at 0 K	12.024	eV per formula unit

The structure in Quantum ESPRESSO input format:
```
&SYSTEM
  ibrav = 0, nat = 5, ntyp = 3
/
ATOMIC_SPECIES
Tc 98.00 Tc.upf
Ir 192.22 Ir.upf
C 12.01 C.upf
CELL_PARAMETERS angstrom
3.963 0.000 0.000
0.000 3.963 0.000
0.000 0.000 3.963
ATOMIC_POSITIONS angstrom
Tc 0.000 0.000 0.000
Ir 1.982 1.982 1.982
C 0.000 0.000 1.982
C 0.000 1.982 0.000
C 1.982 0.000 0.000
```

---

Material: Tc3IrC
Method: DFT, PBE
State: relaxed Values from VASP.

Output
DOS at the Fermi energy	5.6	states/eV/f.u.
magnetic moment	0.0	μB/cell
formation enthalpy at 0 K	0.640	eV per formula unit

The structure in Quantum ESPRESSO input format:
```
&SYSTEM
  ibrav = 0, nat = 5, ntyp = 3
/
ATOMIC_SPECIES
Tc 98.00 Tc.upf
Ir 192.22 Ir.upf
C 12.01 C.upf
CELL_PARAMETERS angstrom
4.042 0.000 0.000
0.000 4.042 0.000
0.000 0.000 4.042
ATOMIC_POSITIONS angstrom
Tc 0.000 0.000 2.021
Tc 0.000 2.021 0.000
Tc 2.021 0.000 0.000
Ir 2.021 2.021 2.021
C 0.000 0.000 0.000
```

---

Material: TcIrC3
Method: DFT, PBE
State: relaxed Values from VASP.

Output
DOS at the Fermi energy	5.2	states/eV/f.u.
magnetic moment	1.8	μB/cell
formation enthalpy at 0 K	11.849	eV per formula unit

The structure in Quantum ESPRESSO input format:
```
&SYSTEM
  ibrav = 0, nat = 5, ntyp = 3
/
ATOMIC_SPECIES
Tc 98.00 Tc.upf
Ir 192.22 Ir.upf
C 12.01 C.upf
CELL_PARAMETERS angstrom
3.953 0.000 0.000
0.000 3.953 0.000
0.000 0.000 3.953
ATOMIC_POSITIONS angstrom
Tc 0.000 0.000 0.000
Ir 1.976 1.976 1.976
C 0.000 1.976 1.976
C 1.976 0.000 1.976
C 1.976 1.976 0.000
```

---

Material: Te3IrC
Method: DFT, PBE
State: relaxed Values from VASP.

Output
DOS at the Fermi energy	7.7	states/eV/f.u.
magnetic moment	0.7	μB/cell
E_form (uncorrected)	1.827	eV/atom

The structure in Quantum ESPRESSO input format:
```
&SYSTEM
  ibrav = 0, nat = 5, ntyp = 3
/
ATOMIC_SPECIES
Te 127.60 Te.upf
Ir 192.22 Ir.upf
C 12.01 C.upf
CELL_PARAMETERS angstrom
5.252 0.000 0.000
0.000 5.252 0.000
0.000 0.000 5.252
ATOMIC_POSITIONS angstrom
Te 0.000 0.000 2.626
Te 0.000 2.626 0.000
Te 2.626 0.000 0.000
Ir 0.000 0.000 0.000
C 2.626 2.626 2.626
```